(1)
{"formula": "MnCrOs2", "functional": "PBE-GGA", "state": "optimized geometry", "total_magnetization_mub_per_fu": 1.2, "e_tot_ev_per_atom": -10.13, "crystal_system": "trigonal", "ef_mev_per_atom": 183, "lattice": [[8.657, 0.003, 0.002], [8.243, 2.644, 0.002], [8.243, 1.291, 2.308]], "species": ["Os", "Os", "Mn", "Cr"], "fractional_positions": [[0.005, 0.005, 0.005], [0.245, 0.245, 0.245], [0.752, 0.752, 0.752], [0.498, 0.498, 0.498]]}

***

(2)
{"formula": "K2TbF4", "functional": "PBE-GGA", "state": "optimized geometry", "formation_energy_uncorrected_ev_per_atom": -3.06, "total_magnetization_mub_per_fu": 0.0, "e_tot_ev_per_atom": -5.11, "crystal_system": "tetragonal", "lattice": [[4.419, 0.000, 0.000], [0.000, 4.419, 0.000], [2.210, 2.210, 9.143]], "species": ["F", "F", "F", "F", "K", "K", "Tb"], "fractional_positions": [[0.000, 0.500, 0.000], [0.882, 0.882, 0.236], [0.118, 0.118, 0.764], [0.500, 0.000, 0.000], [0.660, 0.660, 0.680], [0.340, 0.340, 0.320], [0.000, 0.000, 0.000]]}

***

(3)
{"formula": "TcIrRu2", "functional": "PBE-GGA", "state": "optimized geometry", "total_magnetization_mub_per_fu": 0.6, "e_tot_ev_per_atom": -8.95, "crystal_system": "cubic", "ef_mev_per_atom": 498, "lattice": [[-2.577, 0.417, -3.493], [1.118, -1.881, -3.772], [-2.247, -3.434, -1.474]], "species": ["Ru", "Ru", "Ir", "Tc"], "fractional_positions": [[0.000, 0.000, 0.000], [0.250, 0.250, 0.250], [0.500, 0.500, 0.500], [0.750, 0.750, 0.750]]}

***

(4)
{"formula": "NaSn2HF6", "functional": "PBE-GGA", "state": "optimized geometry", "total_magnetization_mub_per_fu": 0.0, "e_tot_ev_per_atom": -4.61, "crystal_system": "monoclinic", "lattice": [[6.489, 0.000, 0.345], [0.000, 4.360, 0.000], [0.603, 0.000, 11.177]], "species": ["F", "F", "F", "F", "F", "F", "F", "F", "F", "F", "F", "F", "Na", "Na", "Sn", "Sn", "Sn", "Sn", "H", "H"], "fractional_positions": [[0.609, 0.812, 0.456], [0.903, 0.323, 0.324], [0.597, 0.823, 0.176], [0.783, 0.219, 0.648], [0.109, 0.688, 0.956], [0.283, 0.281, 0.148], [0.891, 0.312, 0.044], [0.403, 0.177, 0.824], [0.217, 0.781, 0.352], [0.097, 0.677, 0.676], [0.717, 0.719, 0.852], [0.391, 0.188, 0.544], [0.500, 0.000, 0.000], [0.000, 0.500, 0.500], [0.487, 0.486, 0.303], [0.513, 0.514, 0.697], [0.013, 0.986, 0.197], [0.987, 0.014, 0.803], [0.000, 0.500, 0.000], [0.500, 0.000, 0.500]]}

***

(5)
{"formula": "LiZnSe2", "functional": "PBE-GGA", "state": "optimized geometry", "formation_energy_uncorrected_ev_per_atom": -0.28, "total_magnetization_mub_per_fu": 0.0, "e_tot_ev_per_atom": -2.82, "crystal_system": "cubic", "lattice": [[0.000, 3.343, 3.343], [3.343, 0.000, 3.343], [3.343, 3.343, 0.000]], "species": ["Se", "Se", "Li", "Zn"], "fractional_positions": [[0.750, 0.750, 0.750], [0.250, 0.250, 0.250], [0.000, 0.000, 0.000], [0.500, 0.500, 0.500]]}

***

(6)
{"formula": "SrScAg", "functional": "PBE-GGA", "state": "optimized geometry", "total_magnetization_mub_per_fu": 0.0, "e_tot_ev_per_atom": -3.64, "crystal_system": "monoclinic", "ef_mev_per_atom": -16, "lattice": [[-4.693, -1.502, -0.279], [-0.406, -0.143, 7.602], [-0.960, 11.186, -0.418]], "species": ["Sr", "Sr", "Sr", "Sr", "Sc", "Sc", "Sc", "Sc", "Ag", "Ag", "Ag", "Ag"], "fractional_positions": [[0.581, 0.829, 0.163], [0.419, 0.171, 0.837], [0.080, 0.300, 0.161], [0.920, 0.700, 0.839], [0.757, 0.857, 0.514], [0.243, 0.143, 0.486], [0.216, 0.604, 0.433], [0.784, 0.396, 0.567], [0.322, 0.848, 0.644], [0.663, 0.514, 0.327], [0.678, 0.152, 0.356], [0.337, 0.486, 0.673]]}

***

(7)
{"formula": "HoPuAs", "functional": "PBE-GGA", "state": "optimized geometry", "total_magnetization_mub_per_fu": 6.5, "e_tot_ev_per_atom": -8.08, "crystal_system": "orthorhombic", "ef_mev_per_atom": -227, "lattice": [[5.802, 0.000, 0.000], [0.000, 3.202, 0.000], [-2.901, -1.601, 8.397]], "species": ["As", "As", "Ho", "Ho", "Pu", "Pu"], "fractional_positions": [[0.847, 0.347, 0.694], [0.153, 0.653, 0.306], [0.246, 0.500, 0.000], [0.754, 0.500, 0.000], [0.675, 0.175, 0.349], [0.325, 0.825, 0.651]]}

***

(8)
{"formula": "CeSi2Ir2", "functional": "PBE-GGA", "state": "optimized geometry", "formation_energy_uncorrected_ev_per_atom": -1.05, "total_magnetization_mub_per_fu": 0.4, "e_tot_ev_per_atom": -7.95, "crystal_system": "tetragonal", "lattice": [[-2.559, -1.417, -2.964], [3.177, -2.024, -1.775], [-1.992, -7.987, 5.539]], "species": ["Ir", "Ir", "Ir", "Ir", "Si", "Si", "Si", "Si", "Ce", "Ce"], "fractional_positions": [[0.000, 0.000, 0.500], [0.000, 0.500, 0.127], [0.500, 0.000, 0.873], [0.500, 0.500, 0.500], [0.000, 0.500, 0.370], [0.500, 0.500, 0.000], [0.000, 0.000, 0.000], [0.500, 0.000, 0.630], [0.000, 0.500, 0.757], [0.500, 0.000, 0.243]]}

***

(9)
{"formula": "SmTi2Ge2", "functional": "PBE-GGA", "state": "optimized geometry", "total_magnetization_mub_per_fu": 0.0, "e_tot_ev_per_atom": -6.63, "crystal_system": "tetragonal", "ef_mev_per_atom": -679, "lattice": [[4.089, 0.000, 0.000], [0.000, 4.089, -0.001], [-2.044, -2.046, 5.925]], "species": ["Ge", "Ge", "Ti", "Ti", "Sm"], "fractional_positions": [[0.609, 0.609, 0.219], [0.391, 0.391, 0.781], [0.250, 0.749, 0.500], [0.750, 0.251, 0.500], [0.000, 0.000, 0.000]]}

***

(10)
{"formula": "PrEr2Ru", "functional": "PBE-GGA", "state": "optimized geometry", "total_magnetization_mub_per_fu": 0.0, "e_tot_ev_per_atom": -5.74, "crystal_system": "trigonal", "ef_mev_per_atom": 56, "lattice": [[3.508, 0.000, 0.000], [1.754, 3.038, 0.000], [1.754, 1.013, 10.779]], "species": ["Ru", "Pr", "Er", "Er"], "fractional_positions": [[0.500, 0.500, 0.500], [0.000, 0.000, 0.000], [0.891, 0.891, 0.327], [0.109, 0.109, 0.673]]}

***

(11)
{"formula": "Sb2PbCl", "functional": "PBE-GGA", "state": "optimized geometry", "formation_energy_uncorrected_ev_per_atom": 0.28, "total_magnetization_mub_per_fu": 0.0, "e_tot_ev_per_atom": -3.17, "crystal_system": "tetragonal", "lattice": [[-6.294, -2.370, -3.254], [3.742, -1.214, -6.352], [-0.171, -6.981, -3.161]], "species": ["Sb", "Sb", "Sb", "Sb", "Cl", "Cl", "Pb", "Pb"], "fractional_positions": [[0.623, 0.125, 0.250], [0.127, 0.625, 0.250], [0.875, 0.873, 0.750], [0.375, 0.377, 0.750], [0.500, 0.500, 0.000], [0.250, 0.750, 0.500], [0.000, 0.000, 0.000], [0.750, 0.250, 0.500]]}

***

(12)
{"formula": "Pa2Ge2Pd3", "functional": "PBE-GGA", "state": "optimized geometry", "total_magnetization_mub_per_fu": 0.0, "e_tot_ev_per_atom": -6.88, "crystal_system": "monoclinic", "ef_mev_per_atom": -624, "lattice": [[4.120, 0.000, 0.000], [-2.060, 5.132, -0.088], [0.000, -2.469, 6.385]], "species": ["Pa", "Pa", "Pd", "Pd", "Pd", "Ge", "Ge"], "fractional_positions": [[0.861, 0.722, 0.233], [0.139, 0.278, 0.767], [0.500, 0.000, 0.000], [0.614, 0.228, 0.436], [0.386, 0.772, 0.564], [0.850, 0.700, 0.780], [0.150, 0.300, 0.220]]}